w | First-principles (GGA-PBEsol) data for a geometry-optimized Sc3C4 structure, as listed in Alexandria via LeMat-Bulk.

The structure in POSCAR format:
```
Sc3C4
1.0
-1.622 -0.198 -4.279
-3.382 -2.749 1.409
-2.629 3.659 0.827
Sc C
3 4
direct
0.000 0.000 0.500
0.000 0.500 0.000
0.500 0.000 0.000
0.500 0.500 0.000
0.000 0.000 0.000
0.500 0.000 0.500
0.000 0.500 0.500
```

## Properties
The space-group type is Pm-3m (221). The calculation puts the magnetic moment at 0.0 μB per cell.

***

x | First-principles (GGA-PBEsol) data for a geometry-optimized Sc3C4 structure, as listed in Alexandria via LeMat-Bulk.

The structure in POSCAR format:
```
Sc3C4
1.0
7.429 0.000 0.000
0.000 7.429 0.000
0.000 0.000 14.926
C Sc
40 30
direct
0.597 0.807 0.167
0.903 0.307 0.333
0.903 0.307 0.667
0.349 0.151 0.250
0.693 0.903 0.667
0.151 0.651 0.750
0.303 0.894 0.000
0.693 0.903 0.333
0.193 0.597 0.167
0.697 0.106 0.000
0.651 0.849 0.250
0.807 0.403 0.833
0.000 0.000 0.543
0.606 0.197 0.500
0.000 0.000 0.457
0.097 0.693 0.333
0.197 0.394 0.500
0.597 0.807 0.833
0.849 0.349 0.750
0.097 0.693 0.667
0.849 0.349 0.250
0.349 0.151 0.750
0.151 0.651 0.250
0.307 0.097 0.333
0.403 0.193 0.833
0.651 0.849 0.750
0.807 0.403 0.167
0.500 0.500 0.043
0.500 0.500 0.657
0.500 0.500 0.957
0.403 0.193 0.167
0.106 0.303 0.000
0.000 0.000 0.157
0.394 0.803 0.500
0.193 0.597 0.833
0.500 0.500 0.343
0.803 0.606 0.500
0.894 0.697 0.000
0.000 0.000 0.843
0.307 0.097 0.667
0.800 0.403 0.000
0.400 0.788 0.356
0.597 0.800 0.000
0.000 0.000 0.000
0.903 0.300 0.500
0.097 0.700 0.500
0.100 0.288 0.856
0.500 0.500 0.500
0.000 0.000 0.312
0.900 0.712 0.856
0.500 0.500 0.188
0.288 0.900 0.856
0.000 0.000 0.688
0.100 0.288 0.144
0.788 0.600 0.644
0.900 0.712 0.144
0.200 0.597 0.000
0.212 0.400 0.356
0.700 0.903 0.500
0.500 0.500 0.812
0.400 0.788 0.644
0.403 0.200 0.000
0.712 0.100 0.144
0.788 0.600 0.356
0.300 0.097 0.500
0.212 0.400 0.644
0.712 0.100 0.856
0.288 0.900 0.144
0.600 0.212 0.356
0.600 0.212 0.644
```

## Properties
The space-group type is P4/mnc (128). The calculation puts the magnetic moment at 0.0 μB per cell.

***

The data favor x; the next most stable structure lies 1298 meV/atom above it.

***

w | First-principles (GGA-PBEsol) data for a geometry-optimized Sc3TlC structure, as listed in Alexandria via LeMat-Bulk.

The structure in POSCAR format:
```
Sc3TlC
1.0
-4.110 -1.127 1.454
1.828 -2.106 3.535
-0.205 3.817 2.380
Sc C Tl
3 1 1
direct
0.000 0.500 0.500
0.500 0.000 0.500
0.500 0.500 0.000
0.500 0.500 0.500
0.000 0.000 0.000
```

## Properties
The space-group type is Pm-3m (221). The calculation puts the magnetic moment at 0.0 μB per cell.

***

x | First-principles (GGA-PBEsol) data for a geometry-optimized Sc3TlC structure, as listed in Alexandria via LeMat-Bulk.

The structure in POSCAR format:
```
Sc3TlC
1.0
-3.878 -2.794 2.047
2.727 -0.568 4.391
-2.136 4.348 1.889
C Sc Tl
1 3 1
direct
0.500 0.500 0.500
0.000 0.500 0.000
0.500 0.000 0.000
0.000 0.000 0.500
0.000 0.000 0.000
```

## Properties
The space-group type is Pm-3m (221). The calculation puts the magnetic moment at 0.0 μB per cell.

***

The data favor w; the next most stable structure lies 2345 meV/atom above it.

***

w | First-principles (GGA-PBEsol) data for a geometry-optimized CSe structure, as listed in Alexandria via LeMat-Bulk.

The structure in POSCAR format:
```
CSe
1.0
3.575 0.000 0.000
1.788 3.096 0.000
1.788 1.032 2.919
Se C
1 1
direct
0.250 0.250 0.250
0.000 0.000 0.000
```

## Properties
The space-group type is F-43m (216). The calculation puts the magnetic moment at 0.0 μB per cell.

***

x | First-principles (GGA-PBEsol) data for a geometry-optimized CSe structure, as listed in Alexandria via LeMat-Bulk.

The structure in POSCAR format:
```
CSe
1.0
4.461 0.000 0.000
0.000 5.019 0.000
0.000 0.000 4.473
C Se
2 2
direct
0.500 0.458 0.500
0.000 0.542 0.000
0.500 0.121 0.500
0.000 0.879 0.000
```

## Properties
The space-group type is Pmmn (59). The calculation puts the magnetic moment at 0.0 μB per cell.

***

The data favor w; the next most stable structure lies 53 meV/atom above it.

***

w | First-principles (GGA-PBEsol) data for a geometry-optimized C2Se structure, as listed in Alexandria via LeMat-Bulk.

The structure in POSCAR format:
```
C2Se
1.0
4.481 0.000 0.000
2.240 3.880 0.000
2.240 1.293 3.658
C Se
4 2
direct
0.125 0.125 0.625
0.125 0.625 0.125
0.125 0.125 0.125
0.625 0.125 0.125
0.750 0.750 0.750
0.500 0.500 0.500
```

## Properties
The space-group type is Fd-3m (227). The calculation puts the magnetic moment at 0.0 μB per cell.

***

x | First-principles (GGA-PBEsol) data for a geometry-optimized C2Se structure, as listed in Alexandria via LeMat-Bulk.

The structure in POSCAR format:
```
C2Se
1.0
-1.940 0.968 1.245
-0.555 -2.266 0.897
4.010 1.435 2.620
C Se
2 1
direct
0.236 0.236 0.473
0.764 0.764 0.527
0.000 0.000 0.000
```

## Properties
The space-group type is I4/mmm (139). The calculation puts the magnetic moment at 0.0 μB per cell.

***

y | First-principles (GGA-PBEsol) data for a geometry-optimized C2Se structure, as listed in Alexandria via LeMat-Bulk.

The structure in POSCAR format:
```
C2Se
1.0
-0.748 -2.313 -0.655
3.381 -2.243 -0.781
-1.065 -3.513 8.789
Se C
2 4
direct
0.277 0.293 0.154
0.723 0.707 0.846
0.439 0.546 0.576
0.561 0.454 0.424
0.119 0.410 0.353
0.881 0.590 0.647
```

## Properties
The space-group type is C2/m (12). The calculation puts the magnetic moment at 0.0 μB per cell.

***

The data favor y; the next most stable structure lies 1671 meV/atom above it.

***

w | First-principles (GGA-PBEsol) data for a geometry-optimized CSe3 structure, as listed in Alexandria via LeMat-Bulk.

The structure in POSCAR format:
```
CSe3
1.0
-2.304 1.987 0.437
-0.569 -2.388 -2.948
-3.192 -4.668 4.397
Se C
3 1
direct
0.500 0.000 0.200
0.000 0.000 0.500
0.500 0.000 0.800
0.000 0.000 0.000
```

## Properties
The space-group type is Cmmm (65). The calculation puts the magnetic moment at 0.0 μB per cell.

***

x | First-principles (GGA-PBEsol) data for a geometry-optimized CSe3 structure, as listed in Alexandria via LeMat-Bulk.

The structure in POSCAR format:
```
CSe3
1.0
-1.650 3.717 -1.580
-0.844 -1.986 -3.792
-3.950 -1.128 1.470
C Se
1 3
direct
0.000 0.000 0.000
0.000 0.000 0.500
0.500 0.000 0.000
0.000 0.500 0.000
```

## Properties
The space-group type is Pm-3m (221). The calculation puts the magnetic moment at 0.0 μB per cell.

***

The data favor w; the next most stable structure lies 215 meV/atom above it.

***

w | First-principles (GGA-PBEsol) data for a geometry-optimized CSe3 structure, as listed in Alexandria via LeMat-Bulk.

The structure in POSCAR format:
```
CSe3
1.0
2.804 0.000 0.000
1.402 5.342 0.204
1.402 0.711 5.299
Se C
3 1
direct
0.678 0.322 0.322
0.500 0.000 0.000
0.322 0.678 0.678
0.000 0.500 0.500
```

## Properties
The space-group type is Immm (71). The calculation puts the magnetic moment at 0.0 μB per cell.

***

x | First-principles (GGA-PBEsol) data for a geometry-optimized CSe3 structure, as listed in Alexandria via LeMat-Bulk.

The structure in POSCAR format:
```
CSe3
1.0
2.808 0.000 0.000
-1.404 3.795 0.035
0.000 -1.209 6.941
Se C
3 1
direct
0.360 0.721 0.820
0.640 0.279 0.180
0.500 0.000 0.500
0.000 0.000 0.000
```

## Properties
The space-group type is C2/m (12). The calculation puts the magnetic moment at 0.0 μB per cell.

***

The data favor x; the next most stable structure lies 90 meV/atom above it.

***

w | First-principles (GGA-PBEsol) data for a geometry-optimized SnCSe2 structure, as listed in Alexandria via LeMat-Bulk.

The structure in POSCAR format:
```
SnCSe2
1.0
3.719 0.000 0.000
1.859 3.221 0.000
1.859 1.074 7.917
Se Sn C
2 1 1
direct
0.927 0.927 0.219
0.073 0.073 0.781
0.500 0.500 0.500
0.000 0.000 0.000
```

## Properties
The space-group type is R-3m (166). The calculation puts the magnetic moment at 0.0 μB per cell.

***

x | First-principles (GGA-PBEsol) data for a geometry-optimized SnCSe2 structure, as listed in Alexandria via LeMat-Bulk.

The structure in POSCAR format:
```
SnCSe2
1.0
-0.126 1.000 -3.044
-2.680 -0.411 -1.713
-3.759 7.757 1.016
Se C Sn
2 1 1
direct
0.886 0.886 0.341
0.114 0.114 0.659
0.500 0.500 0.500
0.000 0.000 0.000
```

## Properties
The space-group type is R-3m (166). The calculation puts the magnetic moment at 0.0 μB per cell.

***

y | First-principles (GGA-PBEsol) data for a geometry-optimized SnCSe2 structure, as listed in Alexandria via LeMat-Bulk.

The structure in POSCAR format:
```
SnCSe2
1.0
-2.155 -0.270 6.051
-0.761 -4.650 -3.894
3.007 -5.623 0.820
Se Sn C
4 2 2
direct
0.375 0.250 0.233
0.233 0.750 0.875
0.875 0.250 0.517
0.517 0.750 0.375
0.000 0.000 0.000
0.750 0.500 0.750
0.500 0.000 0.500
0.250 0.500 0.250
```

## Properties
The space-group type is I-42d (122). The calculation puts the magnetic moment at 0.0 μB per cell.

***

The data favor w; the next most stable structure lies 62 meV/atom above it.

***

w | First-principles (GGA-PBEsol) data for a geometry-optimized Tl3CSe structure, as listed in Alexandria via LeMat-Bulk.

The structure in POSCAR format:
```
Tl3CSe
1.0
-3.737 -0.468 3.119
-1.888 -3.543 -2.793
2.527 -3.338 2.527
C Tl Se
1 3 1
direct
0.000 0.000 0.000
0.500 0.000 0.000
0.000 0.500 0.000
0.000 0.000 0.500
0.500 0.500 0.500
```

## Properties
The space-group type is Pm-3m (221). The calculation puts the magnetic moment at 0.0 μB per cell.

***

x | First-principles (GGA-PBEsol) data for a geometry-optimized Tl3CSe structure, as listed in Alexandria via LeMat-Bulk.

The structure in POSCAR format:
```
Tl3CSe
1.0
6.016 0.000 0.000
0.000 6.016 0.000
0.000 0.000 6.016
Se Tl C
1 3 1
direct
0.000 0.000 0.000
0.000 0.000 0.500
0.000 0.500 0.000
0.500 0.000 0.000
0.500 0.500 0.500
```

## Properties
The space-group type is Pm-3m (221). The calculation puts the magnetic moment at 2.8 μB per cell.

***

The data favor w; the next most stable structure lies 891 meV/atom above it.

***

w | First-principles (GGA-PBEsol) data for a geometry-optimized YCSe3 structure, as listed in Alexandria via LeMat-Bulk.

The structure in POSCAR format:
```
YCSe3
1.0
4.462 0.000 0.000
0.000 4.462 0.000
0.000 0.000 4.462
Y C Se
1 1 3
direct
0.500 0.500 0.500
0.000 0.000 0.000
0.000 0.500 0.000
0.000 0.000 0.500
0.500 0.000 0.000
```

## Properties
The space-group type is Pm-3m (221). The calculation puts the magnetic moment at 0.0 μB per cell.

***

x | First-principles (GGA-PBEsol) data for a geometry-optimized YCSe3 structure, as listed in Alexandria via LeMat-Bulk.

The structure in POSCAR format:
```
YCSe3
1.0
-2.732 -4.628 0.415
4.573 -2.592 1.196
-0.827 0.958 5.240
Se C Y
3 1 1
direct
0.500 0.000 0.000
0.000 0.500 0.000
0.000 0.000 0.500
0.500 0.500 0.500
0.000 0.000 0.000
```

## Properties
The space-group type is Pm-3m (221). The calculation puts the magnetic moment at 0.0 μB per cell.

***

The data favor w; the next most stable structure lies 1234 meV/atom above it.

***

w | First-principles (GGA-PBEsol) data for a geometry-optimized Si2C structure, as listed in Alexandria via LeMat-Bulk.

The structure in POSCAR format:
```
Si2C
1.0
-1.847 -1.334 1.795
-0.210 -2.893 -0.023
2.455 -1.661 3.635
Si C
2 1
direct
0.244 0.244 0.269
0.756 0.756 0.731
0.000 0.000 0.000
```

## Properties
The space-group type is R-3m (166). The calculation puts the magnetic moment at 0.0 μB per cell.

***

x | First-principles (GGA-PBEsol) data for a geometry-optimized Si2C structure, as listed in Alexandria via LeMat-Bulk.

The structure in POSCAR format:
```
Si2C
1.0
2.895 0.000 0.000
0.000 4.710 0.000
-1.447 0.000 4.796
Si C
4 2
direct
0.533 0.250 0.066
0.467 0.750 0.934
0.189 0.750 0.377
0.811 0.250 0.623
0.823 0.750 0.647
0.177 0.250 0.353
```

## Properties
The space-group type is Cmcm (63). The calculation puts the magnetic moment at 0.0 μB per cell.

***

y | First-principles (GGA-PBEsol) data for a geometry-optimized Si2C structure, as listed in Alexandria via LeMat-Bulk.

The structure in POSCAR format:
```
Si2C
1.0
2.684 0.000 0.000
0.000 2.684 0.000
-1.342 -1.342 4.336
C Si
1 2
direct
0.500 0.500 0.000
0.135 0.135 0.270
0.865 0.865 0.730
```

## Properties
The space-group type is I4/mmm (139). The calculation puts the magnetic moment at 0.0 μB per cell.

***

The data favor x; the next most stable structure lies 18 meV/atom above it.